Tb6Pr3Y2Pu | PBE-GGA | relaxed

Structure (POSCAR):
```
Tb6Pr3Y2Pu
1.0
3.1107 -5.3909 0.0000
3.1107 5.3909 0.0000
-2.0820 0.0000 11.6576
Tb Pr Y Pu
6 3 2 1
direct
0.0813 0.4098 0.2444
0.2473 0.2473 0.7554
0.4098 0.0813 0.2444
0.5902 0.9187 0.7556
0.7527 0.7527 0.2446
0.9187 0.5902 0.7556
0.1670 0.8330 0.5000
0.5000 0.5000 0.5000
0.8330 0.1670 0.5000
0.3334 0.6666 0.0000
0.6666 0.3334 0.0000
0.0000 0.0000 0.0000
```

Summary:
total moment	6.6	Bohr magnetons per cell
ΔH_f (0 K)	0.0491	eV per atom
space group	No. 12